Entry from the Alexandria database: an optimized crystal structure of Ba11Ir2Au (GGA-PBE).

a b c (Å): 13.8579 12.7487 12.7487
angles (deg): 68.67 57.08 57.08
Fractional positions:
Ba1 0.7202 0.6324 0.0848
Ba2 0.0000 0.0000 0.0000
Ba3 0.8368 0.9247 0.8110
Ba4 0.1632 0.0753 0.1890
Ba5 0.6821 0.3005 0.6995
Ba6 0.9374 0.8676 0.4152
Ba7 0.9275 0.4247 0.3110
Ba8 0.5626 0.0848 0.6324
Ir1 0.3331 0.3454 0.6546
Ba9 0.2202 0.5848 0.1324
Ir2 0.6669 0.6546 0.3454
Ba10 0.2798 0.3676 0.9152
Ba11 0.8179 0.8005 0.1995
Au1 0.7500 0.7500 0.7500
Ba12 0.3179 0.6995 0.3005
Ba13 0.5000 0.5000 0.5000
Ba14 0.7798 0.4152 0.8676
Ba15 0.0626 0.1324 0.5848
Ba16 0.3368 0.3110 0.4247
Ir3 0.8331 0.1546 0.8454
Ba17 0.5725 0.1890 0.0753
Ba18 0.1821 0.1995 0.8005
Ba19 0.4374 0.9152 0.3676
Au2 0.2500 0.2500 0.2500
Ir4 0.1669 0.8454 0.1546
Ba20 0.0725 0.5753 0.6890
Ba21 0.4275 0.8110 0.9247
Ba22 0.6632 0.6890 0.5753

Computed properties:
Energy of formation   -0.060 eV per atom
Symmetry   No. 72


Entry from the Alexandria database: an optimized crystal structure of Zn3NiCl (GGA-PBE).

a b c (Å): 4.7895 4.7895 4.7895
angles (deg): 90.00 90.00 90.00
Site moments in Bohr magnetons follow the coordinates.
Fractional positions:
Zn1 0.5000 0.0000 0.0000  0.01
Zn2 0.0000 0.0000 0.5000  0.05
Zn3 0.0000 0.5000 0.0000  0.04
Cl1 0.0000 0.0000 0.0000  0.01
Ni1 0.5000 0.5000 0.5000  0.70

Computed properties:
Raw formation energy   1.00 eV per atom
Symmetry   No. 221
Polymorph energy (0 for the lowest one)   944 meV/atom


Entry from the Alexandria database: an optimized crystal structure of RbPdSeO6 (GGA-PBE).

a b c (Å): 5.0884 5.0884 6.4680
angles (deg): 90.00 90.00 60.00
Site moments in Bohr magnetons follow the coordinates.
Fractional positions:
Se1 0.3333 0.3333 0.5000  -0.01
O1 0.6095 0.0261 0.3351  0.08
O2 0.3644 0.6095 0.3351  0.08
Rb1 0.0000 0.0000 0.0000  0.00
O3 0.0260 0.6096 0.6649  0.08
O4 0.0260 0.3644 0.3351  0.08
O5 0.6095 0.3644 0.6649  0.08
O6 0.3644 0.0261 0.6649  0.08
Pd1 0.6666 0.6667 0.5000  0.17

Computed properties:
Raw formation energy   -0.67 eV per atom
Symmetry   No. 149


Entry from the Alexandria database: an optimized crystal structure of CaNdGdHg (GGA-PBE).

a b c (Å): 5.5493 5.5493 5.5493
angles (deg): 60.00 60.00 60.00
Site moments in Bohr magnetons follow the coordinates.
Fractional positions:
Nd1 0.5000 0.5000 0.5000  0.08
Ca1 0.2500 0.2500 0.2500  0.01
Hg1 0.7500 0.7500 0.7500  0.00
Gd1 0.0000 0.0000 0.0000  7.19

Computed properties:
Energy of formation   -0.081 eV per atom
Symmetry   No. 216